Density functional theory data (GGA-PBE) for crystalline Dy6P2Se3Br at its relaxed geometry.

Cell: 4.0522 8.1868 9.0693 Å, 102.27 102.91 90.00°
With the nearest neighbours (Å) after each atom.
Fractional coordinates of all 12 atoms:
Dy  0.3220  0.8854  0.6439  2 P 2.75, 3 Se 2.83-3.00
Dy  0.6718  0.5720  0.3436  3 P 2.76-2.79, 3 Se 2.97-3.02
Dy  0.6780  0.1146  0.3561  2 P 2.75, 3 Se 2.83-3.00
Dy  0.0112  0.2776  0.0223  1 P 2.71, 3 Se 2.76-2.94, 2 Br 3.02
Dy  0.9888  0.7224  0.9777  1 P 2.71, 3 Se 2.76-2.94, 2 Br 3.02
Dy  0.3282  0.4280  0.6564  3 P 2.76-2.79, 3 Se 2.97-3.02
P  0.8317  0.6641  0.6634  6 Dy 2.71-2.79
P  0.1683  0.3359  0.3366  6 Dy 2.71-2.79
Se  0.5000  0.5000  0.0000  6 Dy 2.76-2.97
Se  0.8415  0.1618  0.6830  6 Dy 2.83-3.02
Se  0.1585  0.8382  0.3170  6 Dy 2.83-3.02
Br  0.5000  0.0000  0.0000  6 Dy 3.02-3.08

Output
- total energy (eV/f.u.) = -70.18

Density functional theory data (GGA-PBE) for crystalline DyPaBr6 at its relaxed geometry.

Cell: 7.6443 7.6443 7.0380 Å, 98.57 98.57 125.17°
With the nearest neighbours (Å) after each atom.
Fractional coordinates of all 8 atoms:
Dy  0.0000  0.0000  0.0000  6 Br 2.83-2.84
Pa  0.5000  0.5000  0.5000  6 Br 2.88-2.89
Br  0.2484  0.2484  0.7521  1 Dy 2.84, 1 Pa 2.88
Br  0.3910  0.0968  0.2447  1 Dy 2.83, 1 Pa 2.89
Br  0.7516  0.7516  0.2479  1 Dy 2.84, 1 Pa 2.88
Br  0.9032  0.6090  0.7553  1 Dy 2.83, 1 Pa 2.89
Br  0.6090  0.9032  0.7553  1 Dy 2.83, 1 Pa 2.89
Br  0.0968  0.3910  0.2447  1 Dy 2.83, 1 Pa 2.89

Output
- total energy (eV/f.u.) = -36.43

Density functional theory data (GGA-PBE) for crystalline Dy2PbBr at its relaxed geometry.

Cell: 3.5622 3.5622 11.0904 Å, 80.76 80.76 60.00°
With the nearest neighbours (Å) after each atom.
Fractional coordinates of all 4 atoms:
Pb  0.0000  0.0000  0.0000  2 Dy 3.11
Br  0.5000  0.5000  0.5000  6 Dy 3.11
Dy  0.0952  0.0952  0.7143  3 Br 3.11, 1 Pb 3.11
Dy  0.9048  0.9048  0.2857  3 Br 3.11, 1 Pb 3.11

Output
- total energy (eV/f.u.) = -16.33